Record 1
# SmY4MgS8 | Alexandria | PBE | optimized geometry
data_SmY4MgS8
_chemical_formula_sum 'Sm1 Y4 Mg1 S8'
_cell_length_a 8.028
_cell_length_b 8.028
_cell_length_c 8.028
_cell_angle_alpha 59.83
_cell_angle_beta 59.83
_cell_angle_gamma 59.83
_symmetry_space_group_name_H-M 'P 1'
_symmetry_Int_Tables_number 1
_symmetry_space_group_name_Hall 'P 1'
loop_
_atom_site_label
_atom_site_type_symbol
_atom_site_fract_x
_atom_site_fract_y
_atom_site_fract_z
_atom_site_occupancy
Sm1 Sm 0.000 0.000 0.000 1
Y1 Y 0.000 0.000 0.489 1
Y2 Y 0.000 0.489 0.000 1
Y3 Y 0.489 0.000 0.000 1
Y4 Y 0.623 0.623 0.623 1
Mg1 Mg 0.373 0.373 0.373 1
S1 S 0.224 0.752 0.752 1
S2 S 0.244 0.244 0.244 1
S3 S 0.247 0.247 0.757 1
S4 S 0.247 0.757 0.247 1
S5 S 0.752 0.224 0.752 1
S6 S 0.752 0.752 0.224 1
S7 S 0.756 0.756 0.756 1
S8 S 0.757 0.247 0.247 1
# **Electronic total energy**: -6.5716 eV per atom
# **Energy relative to the elements, uncorrected**: -184.8 kJ per mole of atoms
# **Symmetry**: R3m (160)


Record 2
# Sm3Y3MgS8 | Alexandria | PBE | optimized geometry
data_Sm3Y3MgS8
_chemical_formula_sum 'Sm3 Y3 Mg1 S8'
_cell_length_a 7.904
_cell_length_b 7.904
_cell_length_c 7.904
_cell_angle_alpha 59.59
_cell_angle_beta 59.59
_cell_angle_gamma 59.59
_symmetry_space_group_name_H-M 'P 1'
_symmetry_Int_Tables_number 1
_symmetry_space_group_name_Hall 'P 1'
loop_
_atom_site_label
_atom_site_type_symbol
_atom_site_fract_x
_atom_site_fract_y
_atom_site_fract_z
_atom_site_occupancy
Sm1 Sm 0.000 0.500 0.500 1
Sm2 Sm 0.500 0.000 0.500 1
Sm3 Sm 0.500 0.500 0.000 1
Y1 Y 0.000 0.000 0.500 1
Y2 Y 0.000 0.500 0.000 1
Y3 Y 0.500 0.000 0.000 1
Mg1 Mg 0.500 0.500 0.500 1
S1 S 0.247 0.247 0.247 1
S2 S 0.256 0.739 0.739 1
S3 S 0.261 0.261 0.744 1
S4 S 0.261 0.744 0.261 1
S5 S 0.739 0.256 0.739 1
S6 S 0.739 0.739 0.256 1
S7 S 0.744 0.261 0.261 1
S8 S 0.753 0.753 0.753 1
# **Electronic total energy**: -6.5225 eV per atom
# **Energy relative to the elements, uncorrected**: -190.9 kJ per mole of atoms
# **Symmetry**: R-3m (166)


> Which of these has the highest energy relative to the elements, uncorrected?

SmY4MgS8


> Number 2 is which compound?

Sm3Y3MgS8